<one>
# Mo2OsN (PBE, optimized geometry)
data_Mo2OsN
_symmetry_space_group_name_H-M 'R -3 m'
_symmetry_Int_Tables_number 166
_symmetry_space_group_name_Hall '-R 3 2"'
_cell_length_a 2.8015
_cell_length_b 2.8015
_cell_length_c 23.5919
_cell_angle_alpha 90.00
_cell_angle_beta 90.00
_cell_angle_gamma 120.00
loop_
_atom_site_label
_atom_site_type_symbol
_atom_site_fract_x
_atom_site_fract_y
_atom_site_fract_z
_atom_site_occupancy
Mo1 Mo 0.0000 0.0000 0.1054 1
Os1 Os 0.0000 0.0000 0.0000 1
N1 N 0.0000 0.0000 0.5000 1
# * magnetization: 0.00 μB per formula unit
# * DOS(E_F): 2.6 states/eV/f.u.
# * calculated density: 12.31 g cm⁻³

---

<two>
# Mo2OsN (PBE, optimized geometry)
data_Mo2OsN
_symmetry_space_group_name_H-M 'R 3 m'
_symmetry_Int_Tables_number 160
_symmetry_space_group_name_Hall 'R 3 -2"'
_cell_length_a 2.8454
_cell_length_b 2.8454
_cell_length_c 21.7599
_cell_angle_alpha 90.00
_cell_angle_beta 90.00
_cell_angle_gamma 120.00
loop_
_atom_site_label
_atom_site_type_symbol
_atom_site_fract_x
_atom_site_fract_y
_atom_site_fract_z
_atom_site_occupancy
Mo1 Mo 0.0000 0.0000 0.0000 1
Mo2 Mo 0.0000 0.0000 0.2048 1
Os1 Os 0.0000 0.0000 0.7658 1
N1 N 0.0000 0.0000 0.6032 1
# * magnetization: 0.00 μB per formula unit
# * DOS(E_F): 2.9 states/eV/f.u.
# * calculated density: 12.93 g cm⁻³

---

Relative energies, meV/atom: <one> 524; <two> 0.

---

<one>
# Mo2OsN (PBE, optimized geometry)
data_Mo2OsN
_symmetry_space_group_name_H-M 'P 4/m m m'
_symmetry_Int_Tables_number 123
_symmetry_space_group_name_Hall '-P 4 2'
_cell_length_a 2.740
_cell_length_b 2.740
_cell_length_c 6.647
_cell_angle_alpha 90.00
_cell_angle_beta 90.00
_cell_angle_gamma 90.00
loop_
_atom_site_label
_atom_site_type_symbol
_atom_site_fract_x
_atom_site_fract_y
_atom_site_fract_z
_atom_site_occupancy
Mo1 Mo 0.000 0.000 0.204 1
Os1 Os 0.500 0.500 0.500 1
N1 N 0.500 0.500 0.000 1
# * magnetization: 0.00 μB per formula unit
# * DOS(E_F): 1.7 states/eV/f.u.
# * calculated density: 13.19 g cm⁻³

---

<two>
# Mo2OsN (PBE, optimized geometry)
data_Mo2OsN
_symmetry_space_group_name_H-M 'I -4 2 d'
_symmetry_Int_Tables_number 122
_symmetry_space_group_name_Hall 'I -4 2bw'
_cell_length_a 5.075
_cell_length_b 5.075
_cell_length_c 10.267
_cell_angle_alpha 90.00
_cell_angle_beta 90.00
_cell_angle_gamma 90.00
loop_
_atom_site_label
_atom_site_type_symbol
_atom_site_fract_x
_atom_site_fract_y
_atom_site_fract_z
_atom_site_occupancy
Mo1 Mo 0.171 0.250 0.125 1
Os1 Os 0.000 0.000 0.500 1
N1 N 0.000 0.000 0.000 1
# * magnetization: 0.00 μB per formula unit
# * DOS(E_F): 4.2 states/eV/f.u.
# * calculated density: 9.95 g cm⁻³

---

<three>
# Mo2OsN (PBE, optimized geometry)
data_Mo2OsN
_symmetry_space_group_name_H-M 'F m -3 m'
_symmetry_Int_Tables_number 225
_symmetry_space_group_name_Hall '-F 4 2 3'
_cell_length_a 6.020
_cell_length_b 6.020
_cell_length_c 6.020
_cell_angle_alpha 90.00
_cell_angle_beta 90.00
_cell_angle_gamma 90.00
loop_
_atom_site_label
_atom_site_type_symbol
_atom_site_fract_x
_atom_site_fract_y
_atom_site_fract_z
_atom_site_occupancy
Mo1 Mo 0.250 0.250 0.250 1
Os1 Os 0.000 0.000 0.000 1
N1 N 0.000 0.000 0.500 1
# * magnetization: 0.00 μB per formula unit
# * DOS(E_F): 4.6 states/eV/f.u.
# * calculated density: 12.06 g cm⁻³

---

Relative energies, meV/atom: <one> 0; <two> 306; <three> 957.